# DyEr2Tm4Ni2S2 (GGA-PBE, optimized geometry)
data_DyEr2Tm4Ni2S2
_cell_length_a 3.719
_cell_length_b 14.653
_cell_length_c 9.052
_cell_angle_alpha 90.00
_cell_angle_beta 90.00
_cell_angle_gamma 90.00
_space_group_name_H-M_alt 'I m m 2'
_space_group_IT_number 44
_space_group_name_Hall 'I 2 -2'
loop_
_atom_site_label
_atom_site_type_symbol
_atom_site_fract_x
_atom_site_fract_y
_atom_site_fract_z
Dy1 Dy 0.000 0.000 0.000
Er1 Er 0.000 0.315 0.389
Tm1 Tm 0.000 0.120 0.596
Tm2 Tm 0.000 0.365 0.752
Ni1 Ni 0.000 0.240 0.087
S1 S 0.000 0.000 0.346
S2 S 0.000 0.500 0.249
# total energy: -5.50 eV per atom
# magnetization: 0.02 μB per cell